VASP calculation (PBE) on a relaxed ZnCu2Ag crystal.

magnetization = 0.000 μB per formula unit
formation enthalpy at 0 K = 6 meV/atom
space-group type = Pmm2 (25)
V = 56 Å³/f.u.

a b c (Å): 2.855 3.481 5.658
angles (deg): 90.00 90.00 90.00
Element x y z (fractional)
Zn 0.000 0.000 0.475
Cu 0.000 0.000 0.026
Cu 0.500 0.500 0.244
Ag 0.500 0.500 0.755